1.
A plane-wave DFT calculation with PBE was carried out for an optimized crystal structure of Th3CS2.

Cell lengths 3.8746, 5.6445, 12.1532 Å; angles 90.00, 90.00, 90.00 degrees
Closest atoms and distances in Å follow each position.
Element x y z (fractional)
Th1 0.0000 0.0000 0.0000  2 C 2.82, 4 S 2.86
Th2 0.0000 0.0000 0.3550  2 C 2.62, 2 S 2.84
Th3 0.0000 0.0000 0.6450  2 C 2.62, 2 S 2.84
Th4 0.5000 0.5000 0.1450  2 C 2.62, 2 S 2.84
Th5 0.5000 0.5000 0.5000  2 C 2.82, 4 S 2.86
Th6 0.5000 0.5000 0.8550  2 C 2.62, 2 S 2.84
C1 0.0000 0.5000 0.0000  6 Th 2.62-2.82
C2 0.5000 0.0000 0.5000  6 Th 2.62-2.82
S1 0.0000 0.5000 0.3269  6 Th 2.84-2.94
S2 0.0000 0.5000 0.6731  6 Th 2.84-2.94
S3 0.5000 0.0000 0.1731  6 Th 2.84-2.94
S4 0.5000 0.0000 0.8269  6 Th 2.84-2.94

Results
Its spin magnetization is 0.00 μB per formula unit. The symmetry is Immm (71). The calculation puts the total DFT energy (no corrections) at -8.001 eV per atom. The density of states at the Fermi level comes out at 7.47 states/eV per cell. The value obtained for the formation energy from raw total energies is -1.378 eV/atom.

=====

2.
A plane-wave DFT calculation with PBE was carried out for an optimized crystal structure of Th2C2S.

Cell lengths 6.6087, 4.4586, 6.6440 Å; angles 90.00, 95.14, 90.00 degrees
Closest atoms and distances in Å follow each position.
Element x y z (fractional)
Th1 0.1793 0.0000 0.2752  4 C 2.51-2.58
Th2 0.3207 0.5000 0.7248  4 C 2.51-2.58
Th3 0.6793 0.5000 0.2752  4 C 2.51-2.58
Th4 0.8207 0.0000 0.7248  4 C 2.51-2.58
C1 0.0000 0.3430 0.5000  1 C 1.40
C2 0.0000 0.6570 0.5000  1 C 1.40
C3 0.5000 0.1570 0.5000  1 C 1.40
C4 0.5000 0.8430 0.5000  1 C 1.40
S1 0.0000 0.5000 0.0000  6 Th 2.92-3.05
S2 0.5000 0.0000 0.0000  6 Th 2.92-3.05

Results
Its spin magnetization is 0.00 μB per formula unit. The symmetry is C2/m (12). The calculation puts the total DFT energy (no corrections) at -8.264 eV per atom. The density of states at the Fermi level comes out at 5.74 states/eV per cell. The value obtained for the formation energy from raw total energies is -0.781 eV/atom. The distance to the lowest polymorph of the same formula is 0.2061 eV/atom.

=====

3.
A plane-wave DFT calculation with PBE was carried out for an optimized crystal structure of ThCS.

Cell lengths 3.9696, 4.1317, 15.2566 Å; angles 90.00, 90.00, 90.00 degrees
Closest atoms and distances in Å follow each position.
Element x y z (fractional)
Th1 0.0000 0.0000 0.1321  2 C 2.47
Th2 0.0000 0.0000 0.8679  2 C 2.47
Th3 0.5000 0.5000 0.3679  2 C 2.47
Th4 0.5000 0.5000 0.6321  2 C 2.47
C1 0.0000 0.3451 0.0000  1 C 1.28
C2 0.0000 0.6549 0.0000  1 C 1.28
C3 0.5000 0.1549 0.5000  1 C 1.28
C4 0.5000 0.8451 0.5000  1 C 1.28
S1 0.0000 0.0000 0.3261  5 Th 2.93-2.96
S2 0.0000 0.0000 0.6739  5 Th 2.93-2.96
S3 0.5000 0.5000 0.1739  5 Th 2.93-2.96
S4 0.5000 0.5000 0.8261  5 Th 2.93-2.96

Results
Its spin magnetization is 0.00 μB per formula unit. The symmetry is Immm (71). The calculation puts the total DFT energy (no corrections) at -7.786 eV per atom. The density of states at the Fermi level comes out at 6.47 states/eV per cell. The value obtained for the formation energy from raw total energies is -0.862 eV/atom.

=====

4.
A plane-wave DFT calculation with PBE was carried out for an optimized crystal structure of Th6CS5.

Cell lengths 6.9413, 6.9413, 6.9216 Å; angles 99.61, 99.61, 119.72 degrees
Closest atoms and distances in Å follow each position.
Element x y z (fractional)
Th1 0.0780 0.3914 0.7357  1 C 2.67, 5 S 2.84-2.95
Th2 0.2324 0.2324 0.2610  1 C 2.67, 4 S 2.85-2.88
Th3 0.3914 0.0780 0.7357  1 C 2.67, 5 S 2.84-2.95
Th4 0.6086 0.9220 0.2643  1 C 2.67, 5 S 2.84-2.95
Th5 0.7676 0.7676 0.7390  1 C 2.67, 4 S 2.85-2.88
Th6 0.9220 0.6086 0.2643  1 C 2.67, 5 S 2.84-2.95
C1 0.0000 0.0000 0.5000  6 Th 2.67
S1 0.1734 0.8266 0.0000  6 Th 2.84-2.95
S2 0.3345 0.6655 0.5000  6 Th 2.85
S3 0.5000 0.5000 0.0000  6 Th 2.84-3.00
S4 0.6655 0.3345 0.5000  6 Th 2.85
S5 0.8266 0.1734 0.0000  6 Th 2.84-2.95

Results
Its spin magnetization is 0.00 μB per formula unit. The symmetry is C2/m (12). The calculation puts the total DFT energy (no corrections) at -7.823 eV per atom. The density of states at the Fermi level comes out at 7.23 states/eV per cell. The value obtained for the formation energy from raw total energies is -1.625 eV/atom.

=====

5.
A plane-wave DFT calculation with PBE was carried out for an optimized crystal structure of Th4CS4.

Cell lengths 7.2924, 7.2924, 7.2924 Å; angles 125.42, 125.42, 80.84 degrees
Closest atoms and distances in Å follow each position.
Element x y z (fractional)
Th1 0.0736 0.6684 0.0000  1 C 2.39
Th2 0.3316 0.3316 0.4052  1 C 2.39
Th3 0.6684 0.0736 0.0000  1 C 2.39
Th4 0.9264 0.9264 0.5948  1 C 2.39
C1 0.0000 0.0000 0.0000  4 Th 2.39
S1 0.0000 0.5000 0.5000  4 Th 2.80
S2 0.3185 0.3185 0.0000  4 Th 2.85-2.87
S3 0.5000 0.0000 0.5000  4 Th 2.80
S4 0.6815 0.6815 0.0000  4 Th 2.85-2.87

Results
Its spin magnetization is 0.00 μB per formula unit. The symmetry is I-42m (121). The calculation puts the total DFT energy (no corrections) at -7.434 eV per atom. The density of states at the Fermi level comes out at 8.15 states/eV per cell. The value obtained for the formation energy from raw total energies is -1.277 eV/atom.

=====

6.
A plane-wave DFT calculation with PBE was carried out for an optimized crystal structure of Th5CS5.

Cell lengths 6.9072, 6.9072, 7.9578 Å; angles 107.05, 107.05, 48.25 degrees
Closest atoms and distances in Å follow each position.
Element x y z (fractional)
Th1 0.0000 0.0000 0.0000  2 C 2.82, 4 S 2.83-2.86
Th2 0.3435 0.3435 0.1530  1 C 2.63, 4 S 2.83-2.92
Th3 0.3449 0.3449 0.6903  1 C 2.61, 4 S 2.83-2.84
Th4 0.6551 0.6551 0.3097  1 C 2.61, 4 S 2.83-2.84
Th5 0.6565 0.6565 0.8470  1 C 2.63, 4 S 2.83-2.92
C1 0.5000 0.5000 0.0000  6 Th 2.61-2.82
S1 0.1592 0.1592 0.8181  5 Th 2.83-2.92
S2 0.1719 0.1719 0.3385  5 Th 2.83-2.99
S3 0.5000 0.5000 0.5000  4 Th 2.83
S4 0.8281 0.8281 0.6615  5 Th 2.83-2.99
S5 0.8408 0.8408 0.1819  5 Th 2.83-2.92

Results
Its spin magnetization is 0.00 μB per formula unit. The symmetry is C2/m (12). The calculation puts the total DFT energy (no corrections) at -7.694 eV per atom. The density of states at the Fermi level comes out at 6.38 states/eV per cell. The value obtained for the formation energy from raw total energies is -1.607 eV/atom.

=====

7.
A plane-wave DFT calculation with PBE was carried out for an optimized crystal structure of Th5C4S.

Cell lengths 6.6797, 6.6797, 9.5396 Å; angles 118.35, 118.35, 33.40 degrees
Closest atoms and distances in Å follow each position.
Element x y z (fractional)
Th1 0.0000 0.0000 0.0000  6 C 2.71-2.74
Th2 0.2067 0.2067 0.8155  5 C 2.60-2.78, 1 S 2.86
Th3 0.3913 0.3913 0.6167  4 C 2.55-2.82
Th4 0.6087 0.6087 0.3833  4 C 2.55-2.82
Th5 0.7933 0.7933 0.1845  5 C 2.60-2.78, 1 S 2.86
C1 0.1969 0.1969 0.2982  6 Th 2.55-2.82
C2 0.3986 0.3986 0.0997  6 Th 2.60-2.74
C3 0.6014 0.6014 0.9003  6 Th 2.60-2.74
C4 0.8031 0.8031 0.7018  6 Th 2.55-2.82
S1 0.0000 0.0000 0.5000  6 Th 2.86-2.90

Results
Its spin magnetization is 0.00 μB per formula unit. The symmetry is C2/m (12). The calculation puts the total DFT energy (no corrections) at -8.447 eV per atom. The density of states at the Fermi level comes out at 4.80 states/eV per cell. The value obtained for the formation energy from raw total energies is -0.634 eV/atom.

=====

8.
A plane-wave DFT calculation with PBE was carried out for an optimized crystal structure of Th6Tl3C2S.

Cell lengths 10.1152, 10.1152, 9.4409 Å; angles 116.62, 116.62, 21.82 degrees
Closest atoms and distances in Å follow each position.
Element x y z (fractional)
Th1 0.0242 0.0242 0.2352  1 C 2.59, 2 S 2.80
Th2 0.3160 0.3160 0.4602  3 C 2.60-2.67
Th3 0.3398 0.3398 0.8617  2 C 2.59, 1 S 2.84
Th4 0.6602 0.6602 0.1383  2 C 2.59, 1 S 2.84
Th5 0.6840 0.6840 0.5398  3 C 2.60-2.67
Th6 0.9758 0.9758 0.7648  1 C 2.59, 2 S 2.80
Tl1 0.1623 0.1623 0.8290  6 Th 3.39-3.52
Tl2 0.5000 0.5000 0.5000  6 Th 3.35-3.50
Tl3 0.8377 0.8377 0.1710  6 Th 3.39-3.52
C1 0.1690 0.1690 0.3311  6 Th 2.59-2.67
C2 0.8310 0.8310 0.6689  6 Th 2.59-2.67
S1 0.5000 0.5000 0.0000  6 Th 2.80-2.84

Results
Its spin magnetization is 0.00 μB per formula unit. The symmetry is C2/m (12). The calculation puts the total DFT energy (no corrections) at -6.681 eV per atom. The density of states at the Fermi level comes out at 8.26 states/eV per cell. The value obtained for the formation energy from raw total energies is -0.498 eV/atom.

=====

9.
A plane-wave DFT calculation with PBE was carried out for an optimized crystal structure of Th8Tl4C3S.

Cell lengths 9.3790, 9.3790, 9.3790 Å; angles 48.33, 48.33, 48.33 degrees
Closest atoms and distances in Å follow each position.
Element x y z (fractional)
Th1 0.2076 0.7365 0.7365  2 C 2.62, 1 S 2.78
Th2 0.2238 0.2238 0.2238  3 C 2.63
Th3 0.2635 0.2635 0.7924  2 C 2.62, 1 S 2.78
Th4 0.2635 0.7924 0.2635  2 C 2.62, 1 S 2.78
Th5 0.7365 0.2076 0.7365  2 C 2.62, 1 S 2.78
Th6 0.7365 0.7365 0.2076  2 C 2.62, 1 S 2.78
Th7 0.7762 0.7762 0.7762  3 C 2.63
Th8 0.7924 0.2635 0.2635  2 C 2.62, 1 S 2.78
Tl1 0.0000 0.0000 0.0000  6 Th 3.37
Tl2 0.0000 0.5000 0.5000  6 Th 3.49-3.51, 6 Tl 3.84
Tl3 0.5000 0.0000 0.5000  6 Th 3.49-3.51, 6 Tl 3.84
Tl4 0.5000 0.5000 0.0000  6 Th 3.49-3.51, 6 Tl 3.84
C1 0.0000 0.0000 0.5000  6 Th 2.62-2.63
C2 0.0000 0.5000 0.0000  6 Th 2.62-2.63
C3 0.5000 0.0000 0.0000  6 Th 2.62-2.63
S1 0.5000 0.5000 0.5000  6 Th 2.78

Results
Its spin magnetization is 0.00 μB per formula unit. The symmetry is R-3m (166). The calculation puts the total DFT energy (no corrections) at -6.732 eV per atom. The density of states at the Fermi level comes out at 11.36 states/eV per cell. The value obtained for the formation energy from raw total energies is -0.443 eV/atom.

=====

10.
A plane-wave DFT calculation with PBE was carried out for an optimized crystal structure of YThCS.

Cell lengths 3.8018, 3.8018, 19.5164 Å; angles 90.00, 90.00, 120.00 degrees
Closest atoms and distances in Å follow each position.
Element x y z (fractional)
Y1 0.0000 0.0000 0.0000  3 C 2.62, 3 S 2.82
Y2 0.3333 0.6667 0.6667  3 C 2.62, 3 S 2.82
Y3 0.6667 0.3333 0.3333  3 C 2.62, 3 S 2.82
Th1 0.0000 0.0000 0.5243  3 C 2.58
Th2 0.3333 0.6667 0.1909  3 C 2.58
Th3 0.6667 0.3333 0.8576  3 C 2.58
C1 0.0000 0.0000 0.2601  3 Th 2.58, 3 Y 2.62
C2 0.3333 0.6667 0.9268  3 Th 2.58, 3 Y 2.62
C3 0.6667 0.3333 0.5935  3 Th 2.58, 3 Y 2.62
S1 0.0000 0.0000 0.7574  3 Y 2.82, 3 Th 2.94
S2 0.3333 0.6667 0.4240  3 Y 2.82, 3 Th 2.94
S3 0.6667 0.3333 0.0907  3 Y 2.82, 3 Th 2.94

Results
Its spin magnetization is 0.00 μB per formula unit. The symmetry is R3m (160). The calculation puts the total DFT energy (no corrections) at -8.049 eV per atom. The density of states at the Fermi level comes out at 5.54 states/eV per cell. The value obtained for the formation energy from raw total energies is -1.240 eV/atom.

=====

> Which of these has the highest formation energy from raw total energies?

Th8Tl4C3S